Record 1
Compound: Pm4NdHo3
Source: Alexandria
Functional: PBE
Structure: relaxed

Computed properties:
ΔE_f   26 meV/atom
E above lowest polymorph   0 meV/atom

Structure (POSCAR):
```
Pm4NdHo3
1.0
6.328 0.000 0.000
0.000 7.329 0.000
0.000 0.000 11.579
Pm Nd Ho
8 2 6
direct
0.145 0.872 0.000
0.651 0.128 0.000
0.981 0.126 0.253
0.481 0.874 0.247
0.151 0.872 0.500
0.645 0.128 0.500
0.481 0.874 0.753
0.981 0.126 0.747
0.148 0.375 0.000
0.648 0.625 0.500
0.648 0.622 0.000
0.980 0.623 0.250
0.480 0.377 0.250
0.148 0.378 0.500
0.480 0.377 0.750
0.980 0.623 0.750
```


Record 2
Compound: Be3OsRu
Source: Alexandria
Functional: PBE
Structure: relaxed

Computed properties:
ΔE_f   970 meV/atom
E above lowest polymorph   0 meV/atom

Structure (POSCAR):
```
Be3OsRu
1.0
4.081 0.000 0.000
0.000 4.081 0.000
0.000 0.000 4.081
Ru Os Be
1 1 3
direct
0.500 0.500 0.500
0.000 0.000 0.000
0.000 0.500 0.000
0.000 0.000 0.500
0.500 0.000 0.000
```


Record 3
Compound: Tl5B2F12
Source: Alexandria
Functional: PBE
Structure: relaxed

Computed properties:
Uncorrected formation energy   -39.95 eV per formula unit

Structure (POSCAR):
```
Tl5B2F12
1.0
6.536 0.000 0.000
-3.268 6.988 -0.354
0.000 -2.804 9.081
Tl B F
5 2 12
direct
0.321 0.641 0.611
0.319 0.639 0.204
0.000 0.000 0.500
0.681 0.361 0.796
0.679 0.359 0.389
0.824 0.000 0.000
0.176 0.000 0.000
0.000 0.999 0.114
0.181 0.821 0.954
0.640 0.821 0.954
0.084 0.658 0.414
0.575 0.658 0.414
0.503 0.005 0.738
0.497 0.995 0.262
0.916 0.342 0.586
0.425 0.342 0.586
0.819 0.179 0.046
0.360 0.179 0.046
0.000 0.001 0.886
```


Record 4
Compound: Sb3As2
Source: Alexandria
Functional: PBE
Structure: relaxed

Computed properties:
Uncorrected formation energy   0.59 eV per formula unit
E above lowest polymorph   54 meV/atom

Structure (POSCAR):
```
Sb3As2
1.0
-0.906 -8.581 -2.561
-5.250 -3.052 -3.705
3.649 -3.648 -4.911
Sb As
6 4
direct
0.521 0.771 0.377
0.330 0.377 0.771
0.479 0.729 0.920
0.873 0.920 0.729
0.982 0.018 0.018
0.232 0.268 0.268
0.785 0.321 0.512
0.381 0.512 0.321
0.929 0.465 0.869
0.738 0.869 0.465
```


Record 5
Compound: Y2Re2Ag
Source: Alexandria
Functional: PBE
Structure: relaxed

Computed properties:
ΔE_f   212 meV/atom
E above lowest polymorph   0 meV/atom

Structure (POSCAR):
```
Y2Re2Ag
1.0
-4.572 4.055 -3.558
-3.378 -5.789 -2.257
-2.605 0.149 3.518
Y Re Ag
4 4 2
direct
0.178 0.678 0.500
0.678 0.822 0.500
0.822 0.322 0.500
0.322 0.178 0.500
0.384 0.884 0.000
0.884 0.616 0.000
0.616 0.116 0.000
0.116 0.384 0.000
0.000 0.000 0.000
0.500 0.500 0.000
```


Record 6
Compound: CaTl2ZnAg
Source: Alexandria
Functional: PBE
Structure: relaxed

Computed properties:
ΔE_f   226 meV/atom

Structure (POSCAR):
```
CaTl2ZnAg
1.0
-4.199 -0.770 -2.960
0.022 -5.575 1.419
-3.059 1.024 4.072
Tl Ca Zn Ag
2 1 1 1
direct
0.000 0.000 0.500
0.500 0.000 0.000
0.000 0.500 0.000
0.000 0.000 0.000
0.500 0.500 0.500
```